Entry from Alexandria: an optimized crystal structure of Cd3HCl (PBE-GGA).

a = 4.7236 Å, b = 4.7236 Å, c = 4.7236 Å
α = 90.00°, β = 90.00°, γ = 90.00°
Sites, in units of the cell vectors:
H (0.0000, 0.0000, 0.0000)
Cl (0.5000, 0.5000, 0.5000)
Cd (0.0000, 0.5000, 0.0000)
Cd (0.0000, 0.0000, 0.5000)
Cd (0.5000, 0.0000, 0.0000)

Results
Total DFT energy (no corrections) (eV/atom): -1.4329
Space-group type: Pm-3m
Distance to the lowest polymorph of the same formula (eV/atom): 0.000

---

Entry from Alexandria: an optimized crystal structure of LaTbPr2Y (PBE-GGA).

a = 6.7719 Å, b = 8.3771 Å, c = 6.3185 Å
α = 94.02°, β = 90.00°, γ = 90.00°
Sites, in units of the cell vectors:
La (0.0000, 0.0000, 0.0000)
La (0.0000, 0.0000, 0.5000)
Tb (0.5748, 0.0000, 0.2500)
Tb (0.4252, 0.0000, 0.7500)
Pr (0.6885, 0.6932, 0.7744)
Pr (0.6885, 0.3068, 0.7256)
Pr (0.3115, 0.6932, 0.2744)
Pr (0.3115, 0.3068, 0.2256)
Y (0.1607, 0.5000, 0.7500)
Y (0.8393, 0.5000, 0.2500)

Results
Calculated formation energy (eV per formula unit): 1.29
Total DFT energy (no corrections) (eV/atom): -4.8586
Space-group type: P2/c

---

Entry from Alexandria: an optimized crystal structure of Li2HfIn (PBE-GGA).

a = 7.4725 Å, b = 7.4725 Å, c = 6.0348 Å
α = 51.75°, β = 51.75°, γ = 90.00°
Sites, in units of the cell vectors:
Li (0.6028, 0.1250, 0.2500)
Li (0.1472, 0.6250, 0.2500)
Li (0.3750, 0.3972, 0.7500)
Li (0.8750, 0.8528, 0.7500)
Hf (0.0000, 0.0000, 0.0000)
Hf (0.7500, 0.2500, 0.5000)
In (0.5000, 0.5000, 0.0000)
In (0.2500, 0.7500, 0.5000)

Results
Calculated formation energy (eV per formula unit): 1.52
Total DFT energy (no corrections) (eV/atom): -3.7493
Space-group type: I-42d

---

Entry from Alexandria: an optimized crystal structure of BC5 (PBE-GGA).

a = 4.5011 Å, b = 4.4682 Å, c = 5.1483 Å
α = 107.80°, β = 107.19°, γ = 47.76°
Sites, in units of the cell vectors:
B (0.9930, 0.9992, 0.0023)
B (0.5904, 0.0841, 0.4144)
C (0.2628, 0.7436, 0.2565)
C (0.3206, 0.3398, 0.1602)
C (0.6739, 0.6423, 0.3314)
C (0.9215, 0.4141, 0.5846)
C (0.0155, 0.9923, 0.5029)
C (0.2631, 0.7394, 0.7422)
C (0.3202, 0.3439, 0.6745)
C (0.5679, 0.0911, 0.9138)
C (0.6619, 0.6692, 0.8321)
C (0.9094, 0.4410, 0.0852)

Results
Calculated formation energy (eV per formula unit): 1.63
Total DFT energy (no corrections) (eV/atom): -8.5282
Space-group type: P-1
Distance to the lowest polymorph of the same formula (eV/atom): 0.062

---

Entry from Alexandria: an optimized crystal structure of Nd4Cd2Sn (PBE-GGA).

a = 5.3775 Å, b = 5.3775 Å, c = 9.2578 Å
α = 73.12°, β = 73.12°, γ = 60.00°
Sites, in units of the cell vectors:
Nd (0.8713, 0.8713, 0.3860)
Nd (0.1287, 0.1287, 0.6140)
Nd (0.6191, 0.6191, 0.1426)
Nd (0.3809, 0.3809, 0.8574)
Sn (0.0000, 0.0000, 0.0000)
Cd (0.7494, 0.7494, 0.7519)
Cd (0.2506, 0.2506, 0.2481)

Results
Calculated formation energy (eV per formula unit): -1.88
Total DFT energy (no corrections) (eV/atom): -3.8259
Space-group type: R-3m

---

Entry from Alexandria: an optimized crystal structure of BaCuBr2 (PBE-GGA).

a = 4.4569 Å, b = 4.8009 Å, c = 6.2440 Å
α = 66.96°, β = 90.00°, γ = 90.00°
Sites, in units of the cell vectors:
Ba (0.5000, 0.5921, 0.7852)
Br (0.0000, 0.9991, 0.9595)
Br (0.5000, 0.3088, 0.3791)
Cu (0.0000, 0.6001, 0.3761)

Results
Total DFT energy (no corrections) (eV/atom): -3.3434
Space-group type: Pm
Formation energy (no corrections) (meV per atom): -1002.2
Distance to the lowest polymorph of the same formula (eV/atom): 0.000

---

Entry from Alexandria: an optimized crystal structure of Pu3SCl7 (PBE-GGA).

a = 8.2597 Å, b = 8.2621 Å, c = 7.6839 Å
α = 74.50°, β = 57.49°, γ = 60.01°
Sites, in units of the cell vectors:
Pu (0.0626, 0.2615, 0.6133)
Pu (0.5767, 0.7490, 0.6098)
Pu (0.0645, 0.7490, 0.6098)
S (0.7969, 0.5881, 0.8181)
Cl (0.3498, 0.9205, 0.3799)
Cl (0.2842, 0.6078, 0.8238)
Cl (0.8556, 0.9025, 0.3863)
Cl (0.2834, 0.0749, 0.8267)
Cl (0.8150, 0.0749, 0.8267)
Cl (0.3294, 0.4272, 0.3872)
Cl (0.8562, 0.4272, 0.3872)

Results
Total DFT energy (no corrections) (eV/atom): -7.3032
Space-group type: Cm
Formation energy (no corrections) (meV per atom): -1844.1

---

Entry from Alexandria: an optimized crystal structure of CaZrW2 (PBE-GGA).

a = 5.7649 Å, b = 5.7649 Å, c = 2.7339 Å
α = 90.00°, β = 90.00°, γ = 119.82°
Sites, in units of the cell vectors:
Ca (0.0000, 0.5000, 0.5000)
Zr (0.5000, 0.0000, 0.5000)
W (0.0000, 0.0000, 0.0000)
W (0.5000, 0.5000, 0.0000)

Results
Calculated formation energy (eV per formula unit): 2.89
Total DFT energy (no corrections) (eV/atom): -8.3918
Space-group type: Cmmm
Distance to the lowest polymorph of the same formula (eV/atom): 0.324

---

Entry from Alexandria: an optimized crystal structure of Na2ZnTeCl (PBE-GGA).

a = 5.9909 Å, b = 5.0295 Å, c = 5.9909 Å
α = 90.00°, β = 90.00°, γ = 90.00°
Sites, in units of the cell vectors:
Na (0.0000, 0.0000, 0.5000)
Na (0.5000, 0.0000, 0.0000)
Zn (0.0000, 0.0000, 0.0000)
Te (0.0000, 0.5000, 0.0000)
Cl (0.5000, 0.5000, 0.5000)

Results
Total DFT energy (no corrections) (eV/atom): -2.2263
Space-group type: P4/mmm
Formation energy (no corrections) (meV per atom): -446.3

---

Entry from Alexandria: an optimized crystal structure of Ta4Al5 (PBE-GGA).

a = 8.0359 Å, b = 8.0359 Å, c = 5.3943 Å
α = 90.00°, β = 90.00°, γ = 120.00°
Sites, in units of the cell vectors:
Al (0.0000, 0.6926, 0.2500)
Al (0.3074, 0.3074, 0.2500)
Al (0.6926, 0.0000, 0.2500)
Al (0.0000, 0.3074, 0.7500)
Al (0.6926, 0.6926, 0.7500)
Al (0.3074, 0.0000, 0.7500)
Al (0.6667, 0.3333, 0.0000)
Al (0.3333, 0.6667, 0.5000)
Al (0.3333, 0.6667, 0.0000)
Al (0.6667, 0.3333, 0.5000)
Ta (0.0000, 0.0000, 0.0000)
Ta (0.0000, 0.0000, 0.5000)
Ta (0.0000, 0.3587, 0.2500)
Ta (0.6413, 0.6413, 0.2500)
Ta (0.3587, 0.0000, 0.2500)
Ta (0.0000, 0.6413, 0.7500)
Ta (0.3587, 0.3587, 0.7500)
Ta (0.6413, 0.0000, 0.7500)

Results
Calculated formation energy (eV per formula unit): -0.11
Total DFT energy (no corrections) (eV/atom): -7.3590
Space-group type: P6_3/mcm
Distance to the lowest polymorph of the same formula (eV/atom): 0.231

---

Entry from Alexandria: an optimized crystal structure of PrBr (PBE-GGA).

a = 4.1510 Å, b = 4.1512 Å, c = 7.0027 Å
α = 90.00°, β = 90.00°, γ = 90.00°
Sites, in units of the cell vectors:
Pr (0.7500, 0.7500, 0.1787)
Pr (0.2500, 0.2500, 0.8213)
Br (0.7500, 0.7500, 0.6573)
Br (0.2500, 0.2500, 0.3427)

Results
Total DFT energy (no corrections) (eV/atom): -4.3942
Space-group type: P4/nmm
Formation energy (no corrections) (meV per atom): -1168.0

---

Entry from Alexandria: an optimized crystal structure of Na2Hg5Pd5 (PBE-GGA).

a = 4.5865 Å, b = 5.7503 Å, c = 9.8164 Å
α = 90.00°, β = 90.00°, γ = 90.00°
Sites, in units of the cell vectors:
Na (0.0000, 0.5000, 0.0000)
Na (0.0000, 0.0000, 0.5000)
Hg (0.0000, 0.5000, 0.3341)
Hg (0.0000, 0.0000, 0.8054)
Hg (0.0000, 0.0000, 0.1946)
Hg (0.0000, 0.5000, 0.6659)
Hg (0.5000, 0.0000, 0.0000)
Pd (0.5000, 0.5000, 0.5000)
Pd (0.5000, 0.7448, 0.2477)
Pd (0.5000, 0.2552, 0.7523)
Pd (0.5000, 0.2552, 0.2477)
Pd (0.5000, 0.7448, 0.7523)

Results
Calculated formation energy (eV per formula unit): -2.20
Total DFT energy (no corrections) (eV/atom): -2.6927
Space-group type: Pmmm

---

Entry from Alexandria: an optimized crystal structure of PrSmLuAl (PBE-GGA).

a = 5.4208 Å, b = 5.4208 Å, c = 5.4208 Å
α = 60.00°, β = 60.00°, γ = 60.00°
Sites, in units of the cell vectors:
Pr (0.0000, 0.0000, 0.0000)
Lu (0.2500, 0.2500, 0.2500)
Al (0.7500, 0.7500, 0.7500)
Sm (0.5000, 0.5000, 0.5000)

Results
Calculated formation energy (eV per formula unit): -0.30
Total DFT energy (no corrections) (eV/atom): -4.5164
Space-group type: F-43m

---

Entry from Alexandria: an optimized crystal structure of Tm5Pb6 (PBE-GGA).

a = 4.8280 Å, b = 8.8963 Å, c = 8.9873 Å
α = 119.67°, β = 105.58°, γ = 90.00°
Sites, in units of the cell vectors:
Tm (0.0000, 0.5000, 0.0000)
Tm (0.6695, 0.6695, 0.3390)
Tm (0.3305, 0.3305, 0.6610)
Tm (0.3511, 0.8511, 0.7021)
Tm (0.6489, 0.1489, 0.2979)
Pb (0.5000, 0.7479, 0.0000)
Pb (0.5000, 0.2521, 0.0000)
Pb (0.8334, 0.0837, 0.6669)
Pb (0.8335, 0.5832, 0.6669)
Pb (0.1666, 0.9163, 0.3331)
Pb (0.1665, 0.4168, 0.3331)

Results
Calculated formation energy (eV per formula unit): -3.68
Total DFT energy (no corrections) (eV/atom): -4.3899
Space-group type: Immm
Distance to the lowest polymorph of the same formula (eV/atom): 0.000

---

Entry from Alexandria: an optimized crystal structure of ReNi3Sb (PBE-GGA).

a = 4.5420 Å, b = 4.5420 Å, c = 4.5420 Å
α = 90.00°, β = 90.00°, γ = 90.00°
Sites, in units of the cell vectors:
Re (0.0000, 0.0000, 0.0000)
Ni (0.0000, 0.5000, 0.0000)
Ni (0.0000, 0.0000, 0.5000)
Ni (0.5000, 0.0000, 0.0000)
Sb (0.5000, 0.5000, 0.5000)

Results
Total DFT energy (no corrections) (eV/atom): -5.6240
Space-group type: Pm-3m
Formation energy (no corrections) (meV per atom): 1158.9
Distance to the lowest polymorph of the same formula (eV/atom): 0.000

---

Entry from Alexandria: an optimized crystal structure of TaRe2Mo (PBE-GGA).

a = 4.4652 Å, b = 2.7598 Å, c = 5.2429 Å
α = 79.91°, β = 90.00°, γ = 90.00°
Sites, in units of the cell vectors:
Mo (0.5000, 0.7500, 0.7500)
Re (0.0000, 0.0021, 0.9969)
Re (0.0000, 0.4979, 0.5031)
Ta (0.5000, 0.2500, 0.2500)

Results
Calculated formation energy (eV per formula unit): -0.27
Total DFT energy (no corrections) (eV/atom): -11.9618
Space-group type: P2/m
Distance to the lowest polymorph of the same formula (eV/atom): 0.085

---

Entry from Alexandria: an optimized crystal structure of UTiBr6 (PBE-GGA).

a = 7.4165 Å, b = 7.4165 Å, c = 6.7060 Å
α = 98.19°, β = 98.19°, γ = 126.22°
Sites, in units of the cell vectors:
U (0.5000, 0.5000, 0.5000)
Ti (0.0000, 0.0000, 0.0000)
Br (0.6238, 0.9124, 0.7665)
Br (0.9124, 0.6238, 0.7665)
Br (0.0876, 0.3762, 0.2335)
Br (0.3762, 0.0876, 0.2335)
Br (0.2413, 0.2413, 0.7611)
Br (0.7587, 0.7587, 0.2389)

Results
Total DFT energy (no corrections) (eV/atom): -4.8719
Space-group type: C2/m
Formation energy (no corrections) (meV per atom): -1219.3
Distance to the lowest polymorph of the same formula (eV/atom): 0.000

---

Entry from Alexandria: an optimized crystal structure of PmHgAs2Rh5 (PBE-GGA).

a = 4.0373 Å, b = 4.0373 Å, c = 11.1091 Å
α = 90.00°, β = 90.00°, γ = 90.00°
Sites, in units of the cell vectors:
Pm (0.0000, 0.0000, 0.5000)
Hg (0.0000, 0.0000, 0.0000)
As (0.5000, 0.5000, 0.2863)
As (0.5000, 0.5000, 0.7137)
Rh (0.0000, 0.5000, 0.1732)
Rh (0.5000, 0.0000, 0.1732)
Rh (0.0000, 0.5000, 0.8268)
Rh (0.5000, 0.0000, 0.8268)
Rh (0.5000, 0.5000, 0.5000)

Results
Calculated formation energy (eV per formula unit): -2.45
Total DFT energy (no corrections) (eV/atom): -5.9509
Space-group type: P4/mmm

---

Entry from Alexandria: an optimized crystal structure of SrB3Os2 (PBE-GGA).

a = 6.0562 Å, b = 6.4198 Å, c = 6.4198 Å
α = 48.82°, β = 61.86°, γ = 61.86°
Sites, in units of the cell vectors:
Sr (0.0995, 0.2500, 0.2500)
Sr (0.9005, 0.7500, 0.7500)
B (0.0000, 0.6702, 0.3298)
B (0.0000, 0.3298, 0.6702)
B (0.5000, 0.8298, 0.1702)
B (0.5000, 0.0000, 0.5000)
B (0.5000, 0.5000, 0.0000)
B (0.5000, 0.1702, 0.8298)
Os (0.2770, 0.9182, 0.9182)
Os (0.3865, 0.4182, 0.4182)
Os (0.6135, 0.5818, 0.5818)
Os (0.7230, 0.0818, 0.0818)

Results
Calculated formation energy (eV per formula unit): 0.16
Total DFT energy (no corrections) (eV/atom): -7.3358
Space-group type: Imma

---

Entry from Alexandria: an optimized crystal structure of MgCd2Cu (PBE-GGA).

a = 3.2574 Å, b = 3.5664 Å, c = 6.4422 Å
α = 90.00°, β = 90.00°, γ = 90.00°
Sites, in units of the cell vectors:
Mg (0.5000, 0.5000, 0.7500)
Cu (0.5000, 0.5000, 0.2500)
Cd (0.0000, 0.0000, 0.0222)
Cd (0.0000, 0.0000, 0.4778)

Results
Calculated formation energy (eV per formula unit): -0.06
Total DFT energy (no corrections) (eV/atom): -1.8947
Space-group type: Pmmm